# 1
Below is a geometry-optimized SmZn6Rh2 structure, with properties calculated at the PBE level.

Cell and atoms, written as CIF:
```
data_SmZn6Rh2
_symmetry_space_group_name_H-M 'I m m m'
_symmetry_Int_Tables_number 71
_symmetry_space_group_name_Hall '-I 2 2'
_cell_length_a 4.399
_cell_length_b 5.868
_cell_length_c 11.924
_cell_angle_alpha 90.00
_cell_angle_beta 90.00
_cell_angle_gamma 90.00
loop_
_atom_site_label
_atom_site_type_symbol
_atom_site_fract_x
_atom_site_fract_y
_atom_site_fract_z
Sm1 Sm 0.000 0.000 0.000
Zn1 Zn 0.000 0.197 0.500
Zn2 Zn 0.000 0.245 0.299
Rh1 Rh 0.000 0.500 0.118
```



# 2
Below is a geometry-optimized Sm3Zn9Rh2 structure, with properties calculated at the PBE level.

Cell and atoms, written as CIF:
```
data_Sm3Zn9Rh2
_symmetry_space_group_name_H-M 'I m m m'
_symmetry_Int_Tables_number 71
_symmetry_space_group_name_Hall '-I 2 2'
_cell_length_a 4.365
_cell_length_b 9.152
_cell_length_c 12.795
_cell_angle_alpha 90.00
_cell_angle_beta 90.00
_cell_angle_gamma 90.00
loop_
_atom_site_label
_atom_site_type_symbol
_atom_site_fract_x
_atom_site_fract_y
_atom_site_fract_z
Sm1 Sm 0.000 0.000 0.000
Sm2 Sm 0.000 0.000 0.307
Zn1 Zn 0.000 0.280 0.126
Zn2 Zn 0.000 0.359 0.338
Zn3 Zn 0.000 0.500 0.000
Rh1 Rh 0.000 0.186 0.500
```



# 3
Below is a geometry-optimized Sm5Zn5Rh2 structure, with properties calculated at the PBE level.

Cell and atoms, written as CIF:
```
data_Sm5Zn5Rh2
_symmetry_space_group_name_H-M 'C 1 2/m 1'
_symmetry_Int_Tables_number 12
_cell_length_a 15.777
_cell_length_b 4.264
_cell_length_c 11.245
_cell_angle_alpha 90.00
_cell_angle_beta 133.01
_cell_angle_gamma 90.00
loop_
_symmetry_equiv_pos_as_xyz
'x,y,z'
'-x,-y,-z'
'-x,y,-z'
'x,-y,z'
'x+1/2,y+1/2,z'
'-x+1/2,-y+1/2,-z'
'-x+1/2,y+1/2,-z'
'x+1/2,-y+1/2,z'
loop_
_atom_site_label
_atom_site_type_symbol
_atom_site_fract_x
_atom_site_fract_y
_atom_site_fract_z
Sm1 Sm 0.000 0.000 0.000
Sm2 Sm 0.119 0.000 0.416
Sm3 Sm 0.192 0.000 0.818
Zn1 Zn 0.000 0.500 0.500
Zn2 Zn 0.059 0.500 0.845
Zn3 Zn 0.234 0.500 0.680
Rh1 Rh 0.150 0.500 0.259
```



# 4
# Sm3ZnRh PBE optimized geometry
# * polymorph energy (0 for the lowest one): 0 meV per atom
data_Sm3ZnRh
_symmetry_space_group_name_H-M 'C 1 2/m 1'
_symmetry_Int_Tables_number 12
_cell_length_a 9.662
_cell_length_b 6.412
_cell_length_c 9.466
_cell_angle_alpha 90.00
_cell_angle_beta 120.62
_cell_angle_gamma 90.00
loop_
_symmetry_equiv_pos_as_xyz
'x,y,z'
'-x,-y,-z'
'-x,y,-z'
'x,-y,z'
'x+1/2,y+1/2,z'
'-x+1/2,-y+1/2,-z'
'-x+1/2,y+1/2,-z'
'x+1/2,-y+1/2,z'
loop_
_atom_site_label
_atom_site_type_symbol
_atom_site_fract_x
_atom_site_fract_y
_atom_site_fract_z
Sm1 Sm 0.082 0.000 0.294
Sm2 Sm 0.195 0.500 0.891
Sm3 Sm 0.213 0.500 0.295
Zn1 Zn 0.000 0.306 0.500
Rh1 Rh 0.000 0.250 0.000



Energy of formation per entry: -0.228, -0.427, -0.450, -0.430 eV per atom